# 1
Tb4ZnCd2: optimized geometry, GGA-PBE.

Cell: 5.1976 5.1976 25.1193 Å, 90.00 90.00 120.00°
Space group R-3m (No. 166, hexagonal axes)
One atom of each set of equivalent atoms:
Tb (0.0000, 0.0000, 0.1230) (multiplicity 6)
Tb (0.0000, 0.0000, 0.3745) (multiplicity 6)
Zn (0.0000, 0.0000, 0.5000) (multiplicity 3)
Cd (0.0000, 0.0000, 0.2484) (multiplicity 6)

Values from the calculation:
D(E_F): 27.50 states/eV per cell
M_tot: 0.03 μB/cell
DFT formation energy: -13.85 kJ per mole of atoms

# 2
KAg6F12: optimized geometry, GGA-PBE.

Cell: 11.0519 11.0519 8.3394 Å, 90.00 90.00 120.00°
Space group R-3m (No. 166, hexagonal axes)
One atom of each set of equivalent atoms:
K (0.0000, 0.0000, 0.0000) (multiplicity 3)
Ag (0.0936, 0.5468, 0.2957) (multiplicity 18)
F (0.0000, 0.3234, 0.5000) (multiplicity 18)
F (0.0815, 0.1630, 0.2860) (multiplicity 18)

Values from the calculation:
energy above the most stable polymorph in this dataset: 3.065 eV/f.u.
D(E_F): 45.86 states/eV per cell
M_tot: 0.00 μB/cell
raw formation energy: -1156.0 meV/atom

# 3
Cd6Hg3Pt: optimized geometry, GGA-PBE.

Cell: 9.240 11.983 4.497 Å, 90.00 90.00 90.00°
Space group Pnnm (No. 58)
One atom of each set of equivalent atoms:
Cd (0.177, 0.001, 0.000) (multiplicity 4)
Cd (0.181, 0.181, 0.500) (multiplicity 4)
Cd (0.183, 0.820, 0.500) (multiplicity 4)
Hg (0.000, 0.500, 0.500) (multiplicity 2)
Hg (0.001, 0.703, 0.000) (multiplicity 4)
Pt (0.000, 0.000, 0.500) (multiplicity 2)

Values from the calculation:
D(E_F): 4.92 states/eV per cell
M_tot: 0.00 μB/cell
DFT formation energy: -8.06 kJ per mole of atoms

# 4
Pr2GdEr: optimized geometry, GGA-PBE.

Cell: 8.167 8.167 8.167 Å, 90.00 90.00 90.00°
Space group Fm-3m (No. 225)
One atom of each set of equivalent atoms:
Pr (0.250, 0.250, 0.250) (multiplicity 8)
Gd (0.000, 0.000, 0.000) (multiplicity 4)
Er (0.000, 0.000, 0.500) (multiplicity 4)

Values from the calculation:
energy above the most stable polymorph in this dataset: 0.350 eV/f.u.
D(E_F): 31.67 states/eV per cell
M_tot: 31.65 μB/cell
DFT formation energy: 9.70 kJ per mole of atoms

# 5
ScHg: optimized geometry, GGA-PBE.

Cell: 7.041 7.041 7.041 Å, 90.00 90.00 90.00°
Space group Fd-3m (No. 227, origin choice 2)
One atom of each set of equivalent atoms:
Sc (0.125, 0.125, 0.125) (multiplicity 8)
Hg (0.125, 0.125, 0.625) (multiplicity 8)

Values from the calculation:
D(E_F): 25.99 states/eV per cell
M_tot: 7.60 μB/cell
DFT formation energy: -6.38 kJ per mole of atoms

# 6
Tb12PrHo3: optimized geometry, GGA-PBE.

Cell: 5.038 5.038 20.153 Å, 90.00 90.00 90.00°
Space group P4/mmm (No. 123)
One atom of each set of equivalent atoms:
Tb (0.000, 0.000, 0.000) (multiplicity 1)
Tb (0.000, 0.000, 0.248) (multiplicity 2)
Tb (0.000, 0.000, 0.500) (multiplicity 1)
Tb (0.000, 0.500, 0.124) (multiplicity 4)
Tb (0.000, 0.500, 0.373) (multiplicity 4)
Pr (0.500, 0.500, 0.500) (multiplicity 1)
Ho (0.500, 0.500, 0.000) (multiplicity 1)
Ho (0.500, 0.500, 0.249) (multiplicity 2)

Values from the calculation:
D(E_F): 21.68 states/eV per cell
M_tot: 0.00 μB/cell
DFT formation energy: 1.76 kJ per mole of atoms